# ErZr4Hg5 (PBE-GGA, optimized geometry)
# calculated density	11.35	g cm⁻³
# crystal system	tetragonal
# E_form	-196	meV/atom
# size of the total moment	0.00	μB/f.u.
data_ErZr4Hg5
_chemical_formula_sum 'Er1 Zr4 Hg5'
_cell_length_a 3.567
_cell_length_b 3.567
_cell_length_c 17.645
_cell_angle_alpha 90.00
_cell_angle_beta 90.00
_cell_angle_gamma 90.00
_symmetry_space_group_name_H-M 'P 4/m m m'
_symmetry_Int_Tables_number 123
_symmetry_space_group_name_Hall '-P 4 2'
loop_
_atom_site_label
_atom_site_fract_x
_atom_site_fract_y
_atom_site_fract_z
Er1 0.000 0.000 0.000
Zr1 0.000 0.000 0.207
Zr2 0.000 0.000 0.402
Hg1 0.500 0.500 0.107
Hg2 0.500 0.500 0.304
Hg3 0.500 0.500 0.500